The following is a PBE-GGA calculation of a relaxed structure of NdAl2Au4, from Alexandria via LeMat-Bulk.

M_tot	0.000	μB/f.u.
SG	Pnma, No. 62
formation energy from the elements	-591	meV/atom

Unit cell a=17.804 b=4.555 c=6.787 alpha=90.00 beta=90.00 gamma=90.00
Element x y z (fractional)
Nd 0.136 0.250 0.010
Nd 0.364 0.750 0.510
Nd 0.636 0.250 0.490
Nd 0.864 0.750 0.990
Al 0.037 0.750 0.243
Al 0.219 0.250 0.531
Al 0.281 0.750 0.031
Al 0.463 0.250 0.743
Al 0.537 0.750 0.257
Al 0.719 0.250 0.969
Al 0.781 0.750 0.469
Al 0.963 0.250 0.757
Au 0.035 0.750 0.816
Au 0.075 0.250 0.503
Au 0.180 0.750 0.314
Au 0.197 0.750 0.731
Au 0.303 0.250 0.231
Au 0.320 0.250 0.814
Au 0.425 0.750 0.003
Au 0.465 0.250 0.316
Au 0.535 0.750 0.684
Au 0.575 0.250 0.997
Au 0.680 0.750 0.186
Au 0.697 0.750 0.769
Au 0.803 0.250 0.269
Au 0.820 0.250 0.686
Au 0.925 0.750 0.497
Au 0.965 0.250 0.184

The following is a PBE-GGA calculation of a relaxed structure of YV3Ru, from Alexandria via LeMat-Bulk.

M_tot	3.119	μB/f.u.
relative energy among the computed polymorphs	1619.2	meV/atom
SG	Pm-3m, No. 221
formation energy from the elements	2211	meV/atom

Unit cell a=4.534 b=4.534 c=4.534 alpha=90.00 beta=90.00 gamma=90.00
Element x y z (fractional)
Y 0.000 0.000 0.000
V 0.000 0.000 0.500
V 0.000 0.500 0.000
V 0.500 0.000 0.000
Ru 0.500 0.500 0.500

The following is a PBE-GGA calculation of a relaxed structure of GdLuHgRh, from Alexandria via LeMat-Bulk.

M_tot	7.117	μB/f.u.
SG	F-43m, No. 216
formation energy from the elements	-611	meV/atom

Unit cell a=5.029 b=5.029 c=5.029 alpha=60.00 beta=60.00 gamma=60.00
Element x y z (fractional)
Gd 0.000 0.000 0.000
Lu 0.500 0.500 0.500
Hg 0.250 0.250 0.250
Rh 0.750 0.750 0.750

The following is a PBE-GGA calculation of a relaxed structure of Na2YScP, from Alexandria via LeMat-Bulk.

M_tot	0.000	μB/f.u.
SG	P4/mmm, No. 123
formation energy from the elements	1135	meV/atom

Unit cell a=5.288 b=5.288 c=5.496 alpha=90.00 beta=90.00 gamma=90.00
Element x y z (fractional)
Na 0.000 0.500 0.000
Na 0.500 0.000 0.000
Y 0.000 0.000 0.500
Sc 0.000 0.000 0.000
P 0.500 0.500 0.500

The following is a PBE-GGA calculation of a relaxed structure of SrGdY, from Alexandria via LeMat-Bulk.

M_tot	7.622	μB/f.u.
relative energy among the computed polymorphs	21.6	meV/atom
SG	P3m1, No. 156
formation energy from the elements	141	meV/atom

Unit cell a=3.751 b=3.751 c=9.331 alpha=90.00 beta=90.00 gamma=120.00
Element x y z (fractional)
Sr 0.000 0.000 0.000
Gd 0.333 0.667 0.643
Y 0.667 0.333 0.350

The following is a PBE-GGA calculation of a relaxed structure of LiLaGdRu, from Alexandria via LeMat-Bulk.

M_tot	7.072	μB/f.u.
SG	F-43m, No. 216
formation energy from the elements	-169	meV/atom

Unit cell a=5.056 b=5.056 c=5.056 alpha=60.00 beta=60.00 gamma=60.00
Element x y z (fractional)
Li 0.000 0.000 0.000
La 0.250 0.250 0.250
Gd 0.750 0.750 0.750
Ru 0.500 0.500 0.500